No. 1
DFT (PBE-GGA) results for a geometry-optimized BeCdSnCl2 structure.

Summary:
symmetry	P4/mmm
density of states at the Fermi level	2.19	states/eV/cell
ΔE_f (raw)	-0.20	eV/atom

Cell lengths 4.2420, 4.2420, 8.2353 Å; angles 90.00, 90.00, 90.00 degrees
Closest atoms and distances in Å follow each position.
Atoms (fractional coordinates):
Be 0.0000 0.0000 0.0000  4 Cl 2.12
Cd 0.0000 0.0000 0.5000  4 Sn 3.00
Sn 0.5000 0.5000 0.5000  4 Cd 3.00
Cl 0.0000 0.5000 0.0000  2 Be 2.12
Cl 0.5000 0.0000 0.0000  2 Be 2.12

No. 2
DFT (PBE-GGA) results for a geometry-optimized Be2AlCd2 structure.

Summary:
symmetry	P4/mbm
density of states at the Fermi level	3.62	states/eV/cell
DFT formation energy	381	meV/atom

Cell lengths 6.3363, 6.3363, 4.0020 Å; angles 90.00, 90.00, 90.00 degrees
Closest atoms and distances in Å follow each position.
Atoms (fractional coordinates):
Be 0.1247 0.3753 0.0000  1 Be 2.23
Be 0.3753 0.8753 0.0000  1 Be 2.23
Be 0.6247 0.1247 0.0000  1 Be 2.23
Be 0.8753 0.6247 0.0000  1 Be 2.23
Al 0.0000 0.0000 0.0000  4 Be 2.51
Al 0.5000 0.5000 0.0000  4 Be 2.51
Cd 0.1699 0.6699 0.5000  6 Be 2.72-2.75, 1 Cd 3.04
Cd 0.3301 0.1699 0.5000  6 Be 2.72-2.75, 1 Cd 3.04
Cd 0.6699 0.8301 0.5000  6 Be 2.72-2.75, 1 Cd 3.04
Cd 0.8301 0.3301 0.5000  6 Be 2.72-2.75, 1 Cd 3.04

No. 3
DFT (PBE-GGA) results for a geometry-optimized Sm2Dy9Er structure.

Summary:
symmetry	P6/mmm
density of states at the Fermi level	19.12	states/eV/cell
DFT formation energy	63	meV/atom

Cell lengths 11.2284, 11.2284, 3.4879 Å; angles 90.00, 90.00, 120.00 degrees
Closest atoms and distances in Å follow each position.
Atoms (fractional coordinates):
Sm 0.3333 0.6667 0.0000  9 Dy 3.24-3.56, 2 Sm 3.49
Sm 0.6667 0.3333 0.0000  9 Dy 3.24-3.56, 2 Sm 3.49
Dy 0.0000 0.5000 0.0000  2 Sm 3.24, 10 Dy 3.49-3.62
Dy 0.1739 0.3479 0.5000  8 Dy 3.38-3.62, 2 Sm 3.56
Dy 0.1739 0.8261 0.5000  8 Dy 3.38-3.62, 2 Sm 3.56
Dy 0.3479 0.1739 0.5000  8 Dy 3.38-3.62, 2 Sm 3.56
Dy 0.5000 0.0000 0.0000  2 Sm 3.24, 10 Dy 3.49-3.62
Dy 0.5000 0.5000 0.0000  2 Sm 3.24, 10 Dy 3.49-3.62
Dy 0.6521 0.8261 0.5000  8 Dy 3.38-3.62, 2 Sm 3.56
Dy 0.8261 0.1739 0.5000  8 Dy 3.38-3.62, 2 Sm 3.56
Dy 0.8261 0.6521 0.5000  8 Dy 3.38-3.62, 2 Sm 3.56
Er 0.0000 0.0000 0.0000  2 Er 3.49, 12 Dy 3.81

No. 4
DFT (PBE-GGA) results for a geometry-optimized NaZrRhSe3 structure.

Summary:
symmetry	P2_1/m
density of states at the Fermi level	6.85	states/eV/cell
ΔE_f (raw)	-1.01	eV/atom

Cell lengths 7.9461, 3.8109, 9.5151 Å; angles 90.00, 106.42, 90.00 degrees
Closest atoms and distances in Å follow each position.
Atoms (fractional coordinates):
Na 0.2193 0.2500 0.2617  6 Se 2.98-3.20
Na 0.7807 0.7500 0.7383  6 Se 2.98-3.20
Zr 0.3124 0.7500 0.8285  6 Se 2.67-2.83
Zr 0.6876 0.2500 0.1715  6 Se 2.67-2.83
Rh 0.0952 0.2500 0.5913  3 Se 2.46-2.54, 2 Rh 2.73
Rh 0.9048 0.7500 0.4087  3 Se 2.46-2.54, 2 Rh 2.73
Se 0.0854 0.2500 0.8558  1 Rh 2.54, 2 Zr 2.69
Se 0.2632 0.7500 0.5394  2 Rh 2.46, 1 Zr 2.67
Se 0.4287 0.7500 0.1389  3 Zr 2.76-2.83, 2 Na 2.98
Se 0.5713 0.2500 0.8611  3 Zr 2.76-2.83, 2 Na 2.98
Se 0.7368 0.2500 0.4606  2 Rh 2.46, 1 Zr 2.67
Se 0.9146 0.7500 0.1442  1 Rh 2.54, 2 Zr 2.69